No. 1
# CaAc2ErBi4

Crystalline CaAc2ErBi4 at its relaxed geometry (PBE, Alexandria).

Unit cell a=8.0145 b=4.7474 c=8.2597 alpha=90.00 beta=109.88 gamma=90.00
With the nearest neighbours (Å) after each atom.
Fractional coordinates of all 8 atoms:
Ca 0.0000 0.0000 0.0000  6 Bi 3.27
Ac 0.5000 0.0000 0.5000  6 Bi 3.40
Ac 0.5000 0.5000 0.0000  6 Bi 3.45-3.46
Er 0.0000 0.5000 0.5000  6 Bi 3.21-3.22
Bi 0.2267 0.0000 0.7370  2 Er 3.22, 1 Ca 3.27, 3 Ac 3.40-3.45
Bi 0.2299 0.5000 0.2493  1 Er 3.21, 2 Ca 3.27, 3 Ac 3.40-3.46
Bi 0.7701 0.5000 0.7507  1 Er 3.21, 2 Ca 3.27, 3 Ac 3.40-3.46
Bi 0.7733 0.0000 0.2630  2 Er 3.22, 1 Ca 3.27, 3 Ac 3.40-3.45

Summary:
formation enthalpy at 0 K: -6.71 eV/f.u.

***

No. 2
# CaAcGeBi

Crystalline CaAcGeBi at its relaxed geometry (PBE, Alexandria).

Unit cell a=7.9253 b=7.9253 c=7.9253 alpha=90.00 beta=90.00 gamma=90.00
With the nearest neighbours (Å) after each atom.
Fractional coordinates of all 16 atoms:
Ca 0.0000 0.0000 0.0000  4 Bi 3.43, 4 Ge 3.43
Ca 0.0000 0.5000 0.5000  4 Bi 3.43, 4 Ge 3.43
Ca 0.5000 0.0000 0.5000  4 Bi 3.43, 4 Ge 3.43
Ca 0.5000 0.5000 0.0000  4 Bi 3.43, 4 Ge 3.43
Ac 0.0000 0.0000 0.5000  4 Ge 3.43, 4 Bi 3.43
Ac 0.0000 0.5000 0.0000  4 Ge 3.43, 4 Bi 3.43
Ac 0.5000 0.0000 0.0000  4 Ge 3.43, 4 Bi 3.43
Ac 0.5000 0.5000 0.5000  4 Ge 3.43, 4 Bi 3.43
Ge 0.2500 0.2500 0.2500  4 Ca 3.43, 4 Ac 3.43
Ge 0.2500 0.7500 0.7500  4 Ca 3.43, 4 Ac 3.43
Ge 0.7500 0.2500 0.7500  4 Ca 3.43, 4 Ac 3.43
Ge 0.7500 0.7500 0.2500  4 Ca 3.43, 4 Ac 3.43
Bi 0.2500 0.2500 0.7500  4 Ac 3.43, 4 Ca 3.43
Bi 0.2500 0.7500 0.2500  4 Ac 3.43, 4 Ca 3.43
Bi 0.7500 0.2500 0.2500  4 Ac 3.43, 4 Ca 3.43
Bi 0.7500 0.7500 0.7500  4 Ac 3.43, 4 Ca 3.43

Summary:
formation enthalpy at 0 K: -2.23 eV/f.u.

***

No. 3
# CaAcBiI

Crystalline CaAcBiI at its relaxed geometry (PBE, Alexandria).

Unit cell a=8.1779 b=8.1779 c=8.1779 alpha=90.00 beta=90.00 gamma=90.00
With the nearest neighbours (Å) after each atom.
Fractional coordinates of all 16 atoms:
Ca 0.0000 0.0000 0.0000  4 Bi 3.54, 4 I 3.54
Ca 0.0000 0.5000 0.5000  4 Bi 3.54, 4 I 3.54
Ca 0.5000 0.0000 0.5000  4 Bi 3.54, 4 I 3.54
Ca 0.5000 0.5000 0.0000  4 Bi 3.54, 4 I 3.54
Ac 0.0000 0.0000 0.5000  4 Bi 3.54, 4 I 3.54
Ac 0.0000 0.5000 0.0000  4 Bi 3.54, 4 I 3.54
Ac 0.5000 0.0000 0.0000  4 Bi 3.54, 4 I 3.54
Ac 0.5000 0.5000 0.5000  4 Bi 3.54, 4 I 3.54
Bi 0.2500 0.2500 0.2500  4 Ac 3.54, 4 Ca 3.54
Bi 0.2500 0.7500 0.7500  4 Ac 3.54, 4 Ca 3.54
Bi 0.7500 0.2500 0.7500  4 Ac 3.54, 4 Ca 3.54
Bi 0.7500 0.7500 0.2500  4 Ac 3.54, 4 Ca 3.54
I 0.2500 0.2500 0.7500  4 Ac 3.54, 4 Ca 3.54
I 0.2500 0.7500 0.2500  4 Ac 3.54, 4 Ca 3.54
I 0.7500 0.2500 0.2500  4 Ac 3.54, 4 Ca 3.54
I 0.7500 0.7500 0.7500  4 Ac 3.54, 4 Ca 3.54

Summary:
uncorrected formation energy: -87.3 kJ/mol of atoms

***

No. 4
# CaAcInBi

Crystalline CaAcInBi at its relaxed geometry (PBE, Alexandria).

Unit cell a=8.1073 b=8.1073 c=8.1073 alpha=90.00 beta=90.00 gamma=90.00
With the nearest neighbours (Å) after each atom.
Fractional coordinates of all 16 atoms:
Ca 0.0000 0.0000 0.0000  4 In 3.51, 4 Bi 3.51
Ca 0.0000 0.5000 0.5000  4 In 3.51, 4 Bi 3.51
Ca 0.5000 0.0000 0.5000  4 In 3.51, 4 Bi 3.51
Ca 0.5000 0.5000 0.0000  4 In 3.51, 4 Bi 3.51
Ac 0.0000 0.0000 0.5000  4 Bi 3.51, 4 In 3.51
Ac 0.0000 0.5000 0.0000  4 Bi 3.51, 4 In 3.51
Ac 0.5000 0.0000 0.0000  4 Bi 3.51, 4 In 3.51
Ac 0.5000 0.5000 0.5000  4 Bi 3.51, 4 In 3.51
In 0.2500 0.2500 0.2500  4 Ac 3.51, 4 Ca 3.51
In 0.2500 0.7500 0.7500  4 Ac 3.51, 4 Ca 3.51
In 0.7500 0.2500 0.7500  4 Ac 3.51, 4 Ca 3.51
In 0.7500 0.7500 0.2500  4 Ac 3.51, 4 Ca 3.51
Bi 0.2500 0.2500 0.7500  4 Ca 3.51, 4 Ac 3.51
Bi 0.2500 0.7500 0.2500  4 Ca 3.51, 4 Ac 3.51
Bi 0.7500 0.2500 0.2500  4 Ca 3.51, 4 Ac 3.51
Bi 0.7500 0.7500 0.7500  4 Ca 3.51, 4 Ac 3.51

Summary:
formation enthalpy at 0 K: -2.10 eV/f.u.

***

No. 5
# LiCaAcBi

Crystalline LiCaAcBi at its relaxed geometry (PBE, Alexandria).

Unit cell a=8.0417 b=8.0417 c=8.0417 alpha=90.00 beta=90.00 gamma=90.00
With the nearest neighbours (Å) after each atom.
Fractional coordinates of all 16 atoms:
Li 0.0000 0.0000 0.0000  4 Ac 3.48, 4 Ca 3.48
Li 0.0000 0.5000 0.5000  4 Ac 3.48, 4 Ca 3.48
Li 0.5000 0.0000 0.5000  4 Ac 3.48, 4 Ca 3.48
Li 0.5000 0.5000 0.0000  4 Ac 3.48, 4 Ca 3.48
Ca 0.2500 0.2500 0.7500  4 Li 3.48, 4 Bi 3.48
Ca 0.2500 0.7500 0.2500  4 Li 3.48, 4 Bi 3.48
Ca 0.7500 0.2500 0.2500  4 Li 3.48, 4 Bi 3.48
Ca 0.7500 0.7500 0.7500  4 Li 3.48, 4 Bi 3.48
Ac 0.2500 0.2500 0.2500  4 Bi 3.48, 4 Li 3.48
Ac 0.2500 0.7500 0.7500  4 Bi 3.48, 4 Li 3.48
Ac 0.7500 0.2500 0.7500  4 Bi 3.48, 4 Li 3.48
Ac 0.7500 0.7500 0.2500  4 Bi 3.48, 4 Li 3.48
Bi 0.0000 0.0000 0.5000  4 Ac 3.48, 4 Ca 3.48
Bi 0.0000 0.5000 0.0000  4 Ac 3.48, 4 Ca 3.48
Bi 0.5000 0.0000 0.0000  4 Ac 3.48, 4 Ca 3.48
Bi 0.5000 0.5000 0.5000  4 Ac 3.48, 4 Ca 3.48

Summary:
formation enthalpy at 0 K: -1.45 eV/f.u.

***

No. 6
# Ca5Ac2Bi3N2

Crystalline Ca5Ac2Bi3N2 at its relaxed geometry (PBE, Alexandria).

Unit cell a=13.9634 b=13.9634 c=13.9634 alpha=159.53 beta=159.53 gamma=29.10
With the nearest neighbours (Å) after each atom.
Fractional coordinates of all 12 atoms:
Ca 0.0000 0.0000 0.0000  2 N 2.54
Ca 0.0897 0.5897 0.5000  2 N 2.48
Ca 0.4103 0.9103 0.5000  2 N 2.48
Ca 0.5897 0.0897 0.5000  2 N 2.48
Ca 0.9103 0.4103 0.5000  2 N 2.48
Ac 0.1888 0.1888 0.0000  1 N 2.56
Ac 0.8112 0.8112 0.0000  1 N 2.56
Bi 0.3229 0.3229 0.0000  4 Ca 3.42, 5 Ac 3.52-3.63
Bi 0.5000 0.5000 0.0000  12 Ca 3.47-3.51
Bi 0.6771 0.6771 0.0000  4 Ca 3.42, 5 Ac 3.52-3.63
N 0.0941 0.0941 0.0000  5 Ca 2.48-2.54, 1 Ac 2.56
N 0.9059 0.9059 0.0000  5 Ca 2.48-2.54, 1 Ac 2.56

Summary:
uncorrected formation energy: -98.6 kJ/mol of atoms

***

No. 7
# Ca2Ac4Bi3N2

Crystalline Ca2Ac4Bi3N2 at its relaxed geometry (PBE, Alexandria).

Unit cell a=13.8407 b=13.8407 c=13.8407 alpha=158.42 beta=158.42 gamma=30.71
With the nearest neighbours (Å) after each atom.
Fractional coordinates of all 11 atoms:
Ca 0.1954 0.1954 0.0000  1 N 2.36
Ca 0.8046 0.8046 0.0000  1 N 2.36
Ac 0.0901 0.5901 0.5000  2 N 2.63
Ac 0.4099 0.9099 0.5000  2 N 2.63
Ac 0.5901 0.0901 0.5000  2 N 2.63
Ac 0.9099 0.4099 0.5000  2 N 2.63
Bi 0.3180 0.3180 0.0000  1 Ca 3.27, 4 Ac 3.57
Bi 0.5000 0.5000 0.0000  8 Ac 3.54
Bi 0.6820 0.6820 0.0000  1 Ca 3.27, 4 Ac 3.57
N 0.1071 0.1071 0.0000  1 Ca 2.36, 4 Ac 2.63
N 0.8929 0.8929 0.0000  1 Ca 2.36, 4 Ac 2.63

Summary:
uncorrected formation energy: -89.5 kJ/mol of atoms

***

No. 8
# NaCaAcBi

Crystalline NaCaAcBi at its relaxed geometry (PBE, Alexandria).

Unit cell a=8.2303 b=8.2303 c=8.2303 alpha=90.00 beta=90.00 gamma=90.00
With the nearest neighbours (Å) after each atom.
Fractional coordinates of all 16 atoms:
Na 0.0000 0.0000 0.0000  4 Ac 3.56, 4 Ca 3.56
Na 0.0000 0.5000 0.5000  4 Ac 3.56, 4 Ca 3.56
Na 0.5000 0.0000 0.5000  4 Ac 3.56, 4 Ca 3.56
Na 0.5000 0.5000 0.0000  4 Ac 3.56, 4 Ca 3.56
Ca 0.2500 0.2500 0.2500  4 Na 3.56, 4 Bi 3.56
Ca 0.2500 0.7500 0.7500  4 Na 3.56, 4 Bi 3.56
Ca 0.7500 0.2500 0.7500  4 Na 3.56, 4 Bi 3.56
Ca 0.7500 0.7500 0.2500  4 Na 3.56, 4 Bi 3.56
Ac 0.2500 0.2500 0.7500  4 Na 3.56, 4 Bi 3.56
Ac 0.2500 0.7500 0.2500  4 Na 3.56, 4 Bi 3.56
Ac 0.7500 0.2500 0.2500  4 Na 3.56, 4 Bi 3.56
Ac 0.7500 0.7500 0.7500  4 Na 3.56, 4 Bi 3.56
Bi 0.0000 0.0000 0.5000  4 Ca 3.56, 4 Ac 3.56
Bi 0.0000 0.5000 0.0000  4 Ca 3.56, 4 Ac 3.56
Bi 0.5000 0.0000 0.0000  4 Ca 3.56, 4 Ac 3.56
Bi 0.5000 0.5000 0.5000  4 Ca 3.56, 4 Ac 3.56

Summary:
formation enthalpy at 0 K: -1.19 eV/f.u.

***

Q: Which formula does entry 5 have?
A: LiCaAcBi